BaPaP3Au | PBE-GGA | optimized geometry

```
data_BaPaP3Au
_space_group_name_H-M_alt 'C m c m'
_space_group_IT_number 63
_space_group_name_Hall '-C 2c 2'
_cell_length_a 4.194
_cell_length_b 13.593
_cell_length_c 10.586
_cell_angle_alpha 90.00
_cell_angle_beta 90.00
_cell_angle_gamma 90.00
loop_
_atom_site_label
_atom_site_type_symbol
_atom_site_fract_x
_atom_site_fract_y
_atom_site_fract_z
_atom_site_occupancy
Ba1 Ba 0.000 0.243 0.250 1
Pa1 Pa 0.000 0.500 0.000 1
P1 P 0.000 0.130 0.547 1
P2 P 0.000 0.440 0.750 1
Au1 Au 0.000 0.040 0.750 1
```

magnetization = 0.0000 μB per atom
calculated density = 7.25 Mg/m³
DFT formation energy = -0.838 eV/atom



BaP6Pd2Au | PBE-GGA | optimized geometry

```
data_BaP6Pd2Au
_space_group_name_H-M_alt 'R -3 m'
_space_group_IT_number 166
_space_group_name_Hall '-R 3 2"'
_cell_length_a 6.0531
_cell_length_b 6.0531
_cell_length_c 24.9086
_cell_angle_alpha 90.00
_cell_angle_beta 90.00
_cell_angle_gamma 120.00
loop_
_atom_site_label
_atom_site_type_symbol
_atom_site_fract_x
_atom_site_fract_y
_atom_site_fract_z
_atom_site_occupancy
Ba1 Ba 0.0000 0.0000 0.0000 1
P1 P 0.0885 0.5443 0.0799 1
Pd1 Pd 0.0000 0.0000 0.2737 1
Au1 Au 0.0000 0.0000 0.5000 1
```

magnetization = 0.0000 μB per atom
calculated density = 4.62 Mg/m³
DFT formation energy = -0.128 eV/atom



BaPPd2Au | PBE-GGA | optimized geometry

```
data_BaPPd2Au
_space_group_name_H-M_alt 'P 4/m m m'
_space_group_IT_number 123
_space_group_name_Hall '-P 4 2'
_cell_length_a 4.790
_cell_length_b 4.790
_cell_length_c 4.864
_cell_angle_alpha 90.00
_cell_angle_beta 90.00
_cell_angle_gamma 90.00
loop_
_atom_site_label
_atom_site_type_symbol
_atom_site_fract_x
_atom_site_fract_y
_atom_site_fract_z
_atom_site_occupancy
Ba1 Ba 0.000 0.000 0.000 1
P1 P 0.500 0.500 0.500 1
Pd1 Pd 0.000 0.500 0.500 1
Au1 Au 0.500 0.500 0.000 1
```

magnetization = 0.0000 μB per atom
calculated density = 8.60 Mg/m³
DFT formation energy = -0.575 eV/atom



Ba8PPdAu2 | PBE-GGA | optimized geometry

```
data_Ba8PPdAu2
_space_group_name_H-M_alt 'P 1 2/m 1'
_space_group_IT_number 10
_cell_length_a 7.656
_cell_length_b 9.537
_cell_length_c 7.901
_cell_angle_alpha 90.00
_cell_angle_beta 90.22
_cell_angle_gamma 90.00
loop_
_space_group_symop_operation_xyz
'x,y,z'
'-x,-y,-z'
'-x,y,-z'
'x,-y,z'
loop_
_atom_site_label
_atom_site_type_symbol
_atom_site_fract_x
_atom_site_fract_y
_atom_site_fract_z
_atom_site_occupancy
Ba1 Ba 0.219 0.250 0.328 1
Ba2 Ba 0.259 0.000 0.814 1
Ba3 Ba 0.267 0.500 0.822 1
P1 P 0.000 0.000 0.500 1
Pd1 Pd 0.000 0.500 0.500 1
Au1 Au 0.500 0.246 0.000 1
```

magnetization = 0.0000 μB per atom
calculated density = 4.69 Mg/m³
DFT formation energy = -0.553 eV/atom



Ba2P3Pd12Au | PBE-GGA | optimized geometry

```
data_Ba2P3Pd12Au
_space_group_name_H-M_alt 'R -3 m'
_space_group_IT_number 166
_space_group_name_Hall '-R 3 2"'
_cell_length_a 8.5751
_cell_length_b 8.5751
_cell_length_c 18.0696
_cell_angle_alpha 90.00
_cell_angle_beta 90.00
_cell_angle_gamma 120.00
loop_
_atom_site_label
_atom_site_type_symbol
_atom_site_fract_x
_atom_site_fract_y
_atom_site_fract_z
_atom_site_occupancy
Ba1 Ba 0.0000 0.0000 0.1088 1
P1 P 0.0000 0.5000 0.0000 1
Pd1 Pd 0.0017 0.5009 0.8769 1
Pd2 Pd 0.0614 0.5307 0.3485 1
Au1 Au 0.0000 0.0000 0.5000 1
```

magnetization = 0.0000 μB per atom
calculated density = 7.97 Mg/m³
DFT formation energy = -0.278 eV/atom



Ba2P3Pt12Au | PBE-GGA | optimized geometry

```
data_Ba2P3Pt12Au
_space_group_name_H-M_alt 'R -3 m'
_space_group_IT_number 166
_space_group_name_Hall '-R 3 2"'
_cell_length_a 8.3528
_cell_length_b 8.3528
_cell_length_c 19.0354
_cell_angle_alpha 90.00
_cell_angle_beta 90.00
_cell_angle_gamma 120.00
loop_
_atom_site_label
_atom_site_type_symbol
_atom_site_fract_x
_atom_site_fract_y
_atom_site_fract_z
_atom_site_occupancy
Ba1 Ba 0.0000 0.0000 0.1113 1
P1 P 0.0000 0.5000 0.0000 1
Pt1 Pt 0.0010 0.5005 0.1184 1
Pt2 Pt 0.0490 0.5245 0.3593 1
Au1 Au 0.0000 0.0000 0.5000 1
```

magnetization = 0.0000 μB per atom
calculated density = 12.58 Mg/m³
DFT formation energy = -0.257 eV/atom



What did the first record say?
BaPaP3Au | PBE-GGA | optimized geometry

```
data_BaPaP3Au
_space_group_name_H-M_alt 'C m c m'
_space_group_IT_number 63
_space_group_name_Hall '-C 2c 2'
_cell_length_a 4.194
_cell_length_b 13.593
_cell_length_c 10.586
_cell_angle_alpha 90.00
_cell_angle_beta 90.00
_cell_angle_gamma 90.00
loop_
_atom_site_label
_atom_site_type_symbol
_atom_site_fract_x
_atom_site_fract_y
_atom_site_fract_z
_atom_site_occupancy
Ba1 Ba 0.000 0.243 0.250 1
Pa1 Pa 0.000 0.500 0.000 1
P1 P 0.000 0.130 0.547 1
P2 P 0.000 0.440 0.750 1
Au1 Au 0.000 0.040 0.750 1
```

magnetization = 0.0000 μB per atom
calculated density = 7.25 Mg/m³
DFT formation energy = -0.838 eV/atom